The following is a PBE calculation of a geometry-optimized ScAg4Hg structure, from Alexandria via LeMat-Bulk.

Calculated values
SG: No. 216
Polymorph energy (0 for the lowest one) in meV per atom: 0
DFT formation energy in eV per atom: -0.057

a = 5.5069 Å, b = 5.5069 Å, c = 5.5069 Å
α = 60.00°, β = 60.00°, γ = 60.00°
Atoms (fractional coordinates):
Sc 0.0000 0.0000 0.0000
Ag 0.1248 0.6251 0.6251
Ag 0.6251 0.6251 0.6251
Ag 0.6251 0.1248 0.6251
Ag 0.6251 0.6251 0.1248
Hg 0.2500 0.2500 0.2500



The following is a PBE calculation of a geometry-optimized ScAg2Hg structure, from Alexandria via LeMat-Bulk.

Calculated values
SG: No. 160
DFT formation energy in eV per atom: -0.027

a = 9.2461 Å, b = 9.2461 Å, c = 9.2461 Å
α = 20.35°, β = 20.35°, γ = 20.35°
Atoms (fractional coordinates):
Ag 0.9995 0.9995 0.9995
Ag 0.2516 0.2516 0.2516
Hg 0.5008 0.5008 0.5008
Sc 0.7482 0.7482 0.7482



The following is a PBE calculation of a geometry-optimized ScAg4Hg structure, from Alexandria via LeMat-Bulk.

Calculated values
SG: No. 12
Polymorph energy (0 for the lowest one) in meV per atom: 35
DFT formation energy in eV per atom: -0.021

a = 4.8598 Å, b = 7.4799 Å, c = 8.2021 Å
α = 90.00°, β = 90.00°, γ = 52.42°
Atoms (fractional coordinates):
Sc 0.5000 0.2500 0.2500
Sc 0.5000 0.7500 0.7500
Ag 0.2443 0.5065 0.9174
Ag 0.2443 0.5065 0.5826
Ag 0.7557 0.9935 0.9174
Ag 0.7557 0.4935 0.4174
Ag 0.7557 0.9935 0.5826
Ag 0.2443 0.0065 0.0826
Ag 0.2443 0.0065 0.4174
Ag 0.7557 0.4935 0.0826
Hg 0.0000 0.2500 0.7500
Hg 0.0000 0.7500 0.2500



The following is a PBE calculation of a geometry-optimized Sc2Ag2Hg structure, from Alexandria via LeMat-Bulk.

Calculated values
SG: No. 139
Polymorph energy (0 for the lowest one) in meV per atom: 223
DFT formation energy in eV per atom: -0.018

a = 3.7738 Å, b = 3.7738 Å, c = 8.3065 Å
α = 76.87°, β = 76.87°, γ = 90.00°
Atoms (fractional coordinates):
Sc 0.3981 0.3981 0.2038
Sc 0.6019 0.6019 0.7962
Hg 0.0000 0.0000 0.0000
Ag 0.7500 0.2500 0.5000
Ag 0.2500 0.7500 0.5000



The following is a PBE calculation of a geometry-optimized ScAgHg2 structure, from Alexandria via LeMat-Bulk.

Calculated values
SG: No. 160
DFT formation energy in eV per atom: -0.092

a = 3.4057 Å, b = 3.4057 Å, c = 9.0860 Å
α = 79.20°, β = 79.20°, γ = 60.00°
Atoms (fractional coordinates):
Sc 0.6671 0.6671 0.9987
Ag 0.4995 0.4995 0.5016
Hg 0.0837 0.0837 0.7490
Hg 0.2498 0.2498 0.2507



The following is a PBE calculation of a geometry-optimized Sc3Ag2Hg2 structure, from Alexandria via LeMat-Bulk.

Calculated values
SG: No. 12
DFT formation energy in eV per atom: -0.271

a = 5.0926 Å, b = 4.6656 Å, c = 7.7646 Å
α = 107.46°, β = 99.64°, γ = 117.26°
Atoms (fractional coordinates):
Sc 0.0000 0.0000 0.0000
Sc 0.5230 0.1230 0.7239
Sc 0.4770 0.8770 0.2761
Ag 0.1671 0.2939 0.4213
Ag 0.8329 0.7061 0.5787
Hg 0.7820 0.4759 0.1699
Hg 0.2180 0.5241 0.8301



The following is a PBE calculation of a geometry-optimized Sc3AgHg4 structure, from Alexandria via LeMat-Bulk.

Calculated values
SG: No. 123
DFT formation energy in eV per atom: -0.329

a = 4.9509 Å, b = 6.9327 Å, c = 9.9011 Å
α = 90.00°, β = 90.00°, γ = 90.00°
Atoms (fractional coordinates):
Sc 0.0000 0.0000 0.0000
Sc 0.0000 0.0000 0.5000
Sc 0.5007 0.0000 0.7500
Sc 0.4993 0.0000 0.2500
Sc 0.5008 0.5000 0.7500
Sc 0.4992 0.5000 0.2500
Hg 0.5000 0.7494 0.0000
Hg 0.5000 0.7494 0.5000
Hg 0.5000 0.2506 0.0000
Hg 0.5000 0.2506 0.5000
Hg 0.0007 0.7494 0.7500
Hg 0.9993 0.7494 0.2500
Hg 0.9993 0.2506 0.2500
Hg 0.0007 0.2506 0.7500
Ag 0.0000 0.5000 0.0000
Ag 0.0000 0.5000 0.5000



The following is a PBE calculation of a geometry-optimized Sc5AgHg6 structure, from Alexandria via LeMat-Bulk.

Calculated values
SG: No. 12
DFT formation energy in eV per atom: -0.360

a = 4.9347 Å, b = 8.5832 Å, c = 8.5832 Å
α = 119.96°, β = 106.74°, γ = 106.74°
Atoms (fractional coordinates):
Sc 0.5000 0.1605 0.8395
Sc 0.0000 0.3308 0.6692
Sc 0.5000 0.5000 0.5000
Sc 0.0000 0.6692 0.3308
Sc 0.5000 0.8395 0.1605
Hg 0.2503 0.0831 0.4175
Hg 0.7497 0.5825 0.9169
Hg 0.7556 0.2561 0.2561
Hg 0.2444 0.7439 0.7439
Hg 0.2503 0.4175 0.0831
Hg 0.7497 0.9169 0.5825
Ag 0.0000 0.0000 0.0000



The following is a PBE calculation of a geometry-optimized Sc3AgHg structure, from Alexandria via LeMat-Bulk.

Calculated values
SG: No. 63
Polymorph energy (0 for the lowest one) in meV per atom: 0
DFT formation energy in eV per atom: -0.263

a = 4.8535 Å, b = 4.8533 Å, c = 9.5960 Å
α = 90.00°, β = 75.35°, γ = 90.00°
Atoms (fractional coordinates):
Sc 0.7661 0.2500 0.1162
Sc 0.3828 0.2500 0.8827
Sc 0.5743 0.2500 0.4997
Sc 0.2655 0.7500 0.1173
Sc 0.8823 0.7500 0.8838
Sc 0.0740 0.7500 0.5003
Ag 0.4772 0.7500 0.6939
Ag 0.1711 0.2500 0.3061
Hg 0.6707 0.7500 0.3069
Hg 0.9776 0.2500 0.6931



The following is a PBE calculation of a geometry-optimized Sc3AgHg2 structure, from Alexandria via LeMat-Bulk.

Calculated values
SG: No. 123
Polymorph energy (0 for the lowest one) in meV per atom: 7
DFT formation energy in eV per atom: -0.378

a = 3.5072 Å, b = 3.5072 Å, c = 10.3801 Å
α = 90.00°, β = 90.00°, γ = 90.00°
Atoms (fractional coordinates):
Sc 0.0000 0.0000 0.0000
Sc 0.0000 0.0000 0.6611
Sc 0.0000 0.0000 0.3389
Ag 0.5000 0.5000 0.5000
Hg 0.5000 0.5000 0.8306
Hg 0.5000 0.5000 0.1694



The following is a PBE calculation of a geometry-optimized Sc2Ag3Hg3 structure, from Alexandria via LeMat-Bulk.

Calculated values
SG: No. 160
DFT formation energy in eV per atom: -0.232

a = 4.8409 Å, b = 4.8409 Å, c = 8.3704 Å
α = 73.19°, β = 73.19°, γ = 60.00°
Atoms (fractional coordinates):
Sc 0.9999 0.9999 0.0002
Sc 0.5003 0.5003 0.4990
Ag 0.2507 0.2507 0.2480
Ag 0.7489 0.7489 0.7532
Ag 0.6249 0.6249 0.1252
Hg 0.1254 0.1254 0.6239
Hg 0.8768 0.8768 0.3696
Hg 0.3730 0.3730 0.8809



The following is a PBE calculation of a geometry-optimized Sc2Ag6Hg structure, from Alexandria via LeMat-Bulk.

Calculated values
SG: No. 15
DFT formation energy in eV per atom: -0.100

a = 7.6644 Å, b = 7.3358 Å, c = 7.6644 Å
α = 64.93°, β = 78.16°, γ = 64.93°
Atoms (fractional coordinates):
Sc 0.3878 0.9118 0.2445
Sc 0.7555 0.5882 0.6122
Sc 0.6122 0.0882 0.7555
Sc 0.2445 0.4118 0.3878
Ag 0.3496 0.5769 0.6181
Ag 0.3819 0.9231 0.6504
Ag 0.6504 0.4231 0.3819
Ag 0.6181 0.0769 0.3496
Ag 0.9843 0.1346 0.6039
Ag 0.3961 0.3654 0.0157
Ag 0.0157 0.8654 0.3961
Ag 0.6039 0.6346 0.9843
Ag 0.1858 0.8044 0.0229
Ag 0.9771 0.6956 0.8142
Ag 0.8142 0.1956 0.9771
Ag 0.0229 0.3044 0.1858
Hg 0.8238 0.7500 0.1762
Hg 0.1762 0.2500 0.8238



The following is a PBE calculation of a geometry-optimized Sc2Ag2Hg structure, from Alexandria via LeMat-Bulk.

Calculated values
SG: No. 127
Polymorph energy (0 for the lowest one) in meV per atom: 0
DFT formation energy in eV per atom: -0.241

a = 7.6627 Å, b = 7.6627 Å, c = 3.5430 Å
α = 90.00°, β = 90.00°, γ = 90.00°
Atoms (fractional coordinates):
Sc 0.1692 0.6692 0.5000
Sc 0.6692 0.8308 0.5000
Sc 0.8308 0.3308 0.5000
Sc 0.3308 0.1692 0.5000
Hg 0.0000 0.0000 0.0000
Hg 0.5000 0.5000 0.0000
Ag 0.3712 0.8712 0.0000
Ag 0.8712 0.6288 0.0000
Ag 0.6288 0.1288 0.0000
Ag 0.1288 0.3712 0.0000



The following is a PBE calculation of a geometry-optimized Sc2Ag2Hg structure, from Alexandria via LeMat-Bulk.

Calculated values
SG: No. 139
Polymorph energy (0 for the lowest one) in meV per atom: 324
DFT formation energy in eV per atom: 0.083

a = 4.8578 Å, b = 4.8578 Å, c = 6.1118 Å
α = 66.58°, β = 66.58°, γ = 90.00°
Atoms (fractional coordinates):
Sc 0.7500 0.2500 0.5000
Sc 0.2500 0.7500 0.5000
Hg 0.0000 0.0000 0.0000
Ag 0.3747 0.3747 0.2506
Ag 0.6253 0.6253 0.7494



The following is a PBE calculation of a geometry-optimized ScAgHg2 structure, from Alexandria via LeMat-Bulk.

Calculated values
SG: No. 71
DFT formation energy in eV per atom: 0.122

a = 6.5478 Å, b = 6.5478 Å, c = 6.5478 Å
α = 54.98°, β = 134.12°, γ = 151.37°
Atoms (fractional coordinates):
Sc 0.0000 0.0000 0.0000
Ag 0.0000 0.5000 0.5000
Hg 0.0000 0.2565 0.2565
Hg 0.0000 0.7435 0.7435



The following is a PBE calculation of a geometry-optimized ScAgHg structure, from Alexandria via LeMat-Bulk.

Calculated values
SG: No. 216
DFT formation energy in eV per atom: -0.056

a = 4.6362 Å, b = 4.6362 Å, c = 4.6362 Å
α = 60.00°, β = 60.00°, γ = 60.00°
Atoms (fractional coordinates):
Ag 0.2500 0.2500 0.2500
Hg 0.0000 0.0000 0.0000
Sc 0.5000 0.5000 0.5000



The following is a PBE calculation of a geometry-optimized ScAgHg structure, from Alexandria via LeMat-Bulk.

Calculated values
SG: No. 10
DFT formation energy in eV per atom: 0.038

a = 5.7324 Å, b = 3.4548 Å, c = 4.8270 Å
α = 89.99°, β = 90.68°, γ = 52.92°
Atoms (fractional coordinates):
Sc 0.0000 0.5000 0.0000
Ag 0.5000 0.5000 0.0000
Hg 0.0000 0.0000 0.5000



The following is a PBE calculation of a geometry-optimized ScAgHg2 structure, from Alexandria via LeMat-Bulk.

Calculated values
SG: No. 123
DFT formation energy in eV per atom: -0.179

a = 4.3041 Å, b = 4.4380 Å, c = 4.4380 Å
α = 90.00°, β = 90.00°, γ = 90.00°
Atoms (fractional coordinates):
Sc 0.5000 0.5000 0.5000
Hg 0.0000 0.0000 0.5000
Hg 0.0000 0.5000 0.0000
Ag 0.5000 0.0000 0.0000



The following is a PBE calculation of a geometry-optimized ScAg2Hg4 structure, from Alexandria via LeMat-Bulk.

Calculated values
SG: No. 123
DFT formation energy in eV per atom: -0.110

a = 4.8811 Å, b = 4.8811 Å, c = 6.6597 Å
α = 90.00°, β = 90.00°, γ = 90.00°
Atoms (fractional coordinates):
Sc 0.5000 0.5000 0.0000
Ag 0.0000 0.0000 0.0000
Ag 0.5000 0.5000 0.5000
Hg 0.5000 0.0000 0.2638
Hg 0.0000 0.5000 0.7362
Hg 0.5000 0.0000 0.7362
Hg 0.0000 0.5000 0.2638



The following is a PBE calculation of a geometry-optimized ScAgHg2 structure, from Alexandria via LeMat-Bulk.

Calculated values
SG: No. 160
DFT formation energy in eV per atom: -0.045

a = 9.0717 Å, b = 9.0717 Å, c = 9.0717 Å
α = 22.00°, β = 22.00°, γ = 22.00°
Atoms (fractional coordinates):
Ag 0.7525 0.7525 0.7525
Hg 0.0032 0.0032 0.0032
Hg 0.2475 0.2475 0.2475
Sc 0.4967 0.4967 0.4967